No. 1
# TlHg2F6

TlHg2F6 after structural relaxation (PBE-GGA, Alexandria).

## Properties
The value obtained for the magnetization is 0.00 Bohr magnetons per cell. As for the symmetry: C2/m (12). The energy above the most stable polymorph in this dataset is 0.250 eV per formula unit. The calculation puts the density of states at the Fermi level at 0.164 states/eV/atom. The mass density comes out at 7.23 Mg/m³.

```
TlHg2F6
1.0
-0.533 -1.651 -3.858
6.139 1.928 0.646
-2.408 -6.523 3.124
Tl Hg F
1 2 6
Cartesian
-1.204 -3.261 1.562
1.409 -5.776 -0.042
1.790 -0.470 -0.046
0.731 -5.065 2.066
2.468 -1.181 -2.154
-0.307 -1.245 0.575
-0.168 -4.186 -0.504
3.506 -5.000 -0.663
3.367 -2.059 0.416
```

---

No. 2
# CaPmGdGa

CaPmGdGa after structural relaxation (PBE-GGA, Alexandria).

## Properties
The value obtained for the magnetization is 7.31 Bohr magnetons per cell. As for the symmetry: F-43m (216). For the energy of formation from the pure elements, the calculation gives -11.1 kJ/mol of atoms. The calculation puts the density of states at the Fermi level at 1.182 states/eV/atom. The mass density comes out at 6.08 Mg/m³.

```
CaPmGdGa
1.0
-4.903 -0.650 -2.213
-2.552 -4.762 0.419
-4.366 -0.464 3.176
Ca Gd Ga Pm
1 1 1 1
Cartesian
-2.955 -1.469 0.345
-5.910 -2.938 0.691
-8.866 -4.407 1.036
0.000 0.000 0.000
```